(1)
## Na5Ge4Sb2 (PBE)

Data for crystalline Na5Ge4Sb2 at its relaxed geometry.

Fermi-level density of states   0.37 states/eV/atom
Uncorrected formation energy   -16 meV/atom
Total magnetic moment   0.00 μB per formula unit

Cell: 11.0780 6.0073 9.0796 Å, 90.00 111.59 90.00°
Space group C2/m (No. 12)
Asymmetric unit:
1 Na 0.0000 0.0000 0.0000 [2 per cell]
2 Na 0.0887 0.2574 0.3784 [8 per cell]
3 Ge 0.1212 0.5000 0.9090 [4 per cell]
4 Ge 0.2108 0.5000 0.7005 [4 per cell]
5 Sb 0.1867 0.0000 0.7842 [4 per cell]

(2)
## ScAl (PBE)

Data for crystalline ScAl at its relaxed geometry.

Fermi-level density of states   1.80 states/eV/atom
Total magnetic moment   1.15 μB per formula unit
Formation energy from the elements   206 kJ/mol of formula units

Cell: 6.4524 6.4524 6.4524 Å, 90.00 90.00 90.00°
Space group F-43m (No. 216)
Asymmetric unit:
1 Sc 0.0000 0.0000 0.0000 [4 per cell]
2 Al 0.2500 0.2500 0.2500 [4 per cell]

(3)
## TbPm (PBE)

Data for crystalline TbPm at its relaxed geometry.

Fermi-level density of states   2.47 states/eV/atom
Total magnetic moment   0.00 μB per formula unit
Distance to the lowest polymorph of the same formula   0.118 eV/atom
Formation energy from the elements   26 kJ/mol of formula units

Cell: 4.0627 4.0627 4.0627 Å, 90.00 90.00 90.00°
Space group Pm-3m (No. 221)
Asymmetric unit:
1 Tb 0.0000 0.0000 0.0000 [1 per cell]
2 Pm 0.5000 0.5000 0.5000 [1 per cell]

(4)
## LaPuMgSi (PBE)

Data for crystalline LaPuMgSi at its relaxed geometry.

Fermi-level density of states   2.40 states/eV/atom
Uncorrected formation energy   -131 meV/atom
Total magnetic moment   6.26 μB per formula unit

Cell: 7.3904 7.3904 7.3904 Å, 90.00 90.00 90.00°
Space group F-43m (No. 216)
Asymmetric unit:
1 La 0.0000 0.0000 0.0000 [4 per cell]
2 Pu 0.0000 0.0000 0.5000 [4 per cell]
3 Mg 0.2500 0.2500 0.2500 [4 per cell]
4 Si 0.2500 0.2500 0.7500 [4 per cell]

(5)
## AlIr3 (PBE)

Data for crystalline AlIr3 at its relaxed geometry.

Fermi-level density of states   1.48 states/eV/atom
Total magnetic moment   0.00 μB per formula unit
Formation energy from the elements   -79 kJ/mol of formula units

Cell: 4.5697 4.5697 2.7962 Å, 90.00 90.00 90.00°
Space group P4/mmm (No. 123)
Asymmetric unit:
1 Al 0.0000 0.0000 0.0000 [1 per cell]
2 Ir 0.0000 0.5000 0.5000 [2 per cell]
3 Ir 0.5000 0.5000 0.0000 [1 per cell]

(6)
## KSiMo2 (PBE)

Data for crystalline KSiMo2 at its relaxed geometry.

Fermi-level density of states   1.15 states/eV/atom
Uncorrected formation energy   686 meV/atom
Total magnetic moment   0.00 μB per formula unit

Cell: 3.2944 4.4789 10.0386 Å, 90.00 90.00 90.00°
Space group Cmmm (No. 65)
Asymmetric unit:
1 K 0.0000 0.0000 0.0000 [2 per cell]
2 Si 0.0000 0.0000 0.5000 [2 per cell]
3 Mo 0.0000 0.5000 0.3077 [4 per cell]

(7)
## NbPt3I (PBE)

Data for crystalline NbPt3I at its relaxed geometry.

Fermi-level density of states   1.29 states/eV/atom
Uncorrected formation energy   1013 meV/atom
Total magnetic moment   0.00 μB per formula unit
Distance to the lowest polymorph of the same formula   0.000 eV/atom

Cell: 4.9695 4.9695 4.9695 Å, 90.00 90.00 90.00°
Space group Pm-3m (No. 221)
Asymmetric unit:
1 Nb 0.0000 0.0000 0.0000 [1 per cell]
2 Pt 0.0000 0.0000 0.5000 [3 per cell]
3 I 0.5000 0.5000 0.5000 [1 per cell]

(8)
## GdBrO2 (PBE)

Data for crystalline GdBrO2 at its relaxed geometry.

Fermi-level density of states   0.00 states/eV/atom
Uncorrected formation energy   -1933 meV/atom
Total magnetic moment   6.99 μB per formula unit

Cell: 5.2344 4.2590 6.6248 Å, 90.00 108.00 90.00°
Space group P2_1/m (No. 11)
Asymmetric unit:
1 Gd 0.1883 0.2500 0.3485 [2 per cell]
2 Br 0.2191 0.2500 0.9095 [2 per cell]
3 O 0.2420 0.7500 0.5460 [2 per cell]
4 O 0.3802 0.7500 0.3783 [2 per cell]